Entry 1:
Density functional theory data (PBE) for a geometry-optimized Cs3CuO2 structure.

Its crystal system is monoclinic. As for the distance to the lowest polymorph of the same formula: 0.0 meV per atom. The total energy is -3.750 eV/atom. The value obtained for the formation energy without anion corrections is -0.9880 eV/atom. The mass density comes out at 4.6 g/cm³.

The space group is C2/c (No. 15) and the conventional cell measures 13.309, 6.290 and 9.076 Å, with angles of 90.00, 110.66 and 90.00 degrees. The inequivalent atoms are Cs at (0.000, 0.002, 0.250), Cs at (0.218, 0.496, 0.864), Cu at (0.000, 0.500, 0.000) and O at (0.106, 0.300, 0.053).

Entry 2:
Density functional theory data (PBE) for a geometry-optimized CsSc2VGe structure.

Its crystal system is tetragonal. The total energy is -4.742 eV/atom. The formation energy is 68 kJ per mole of atoms. As for the density of states at the Fermi level: 10.132 states/eV per cell. The mass density comes out at 4.2 g/cm³.

The space group is P4/mmm (No. 123) and the conventional cell measures 5.332, 5.332 and 4.871 Å, with angles of 90.00, 90.00 and 90.00 degrees. The inequivalent atoms are Cs at (0.000, 0.000, 0.000), Sc at (0.000, 0.500, 0.500), V at (0.500, 0.500, 0.000) and Ge at (0.500, 0.500, 0.500).